# 1
This record from Alexandria describes crystalline Y3VPd12 at its relaxed geometry. The functional is GGA-PBE.

Lattice parameters (Å, degrees): 4.0749 4.0749 16.2500 90.00 90.00 90.00
Closest atoms and distances in Å follow each position.
Sites, in units of the cell vectors:
1 Y 0.0000 0.0000 0.0000  12 Pd 2.88-2.93
2 Y 0.0000 0.0000 0.2551  12 Pd 2.88-2.99
3 Y 0.0000 0.0000 0.7449  12 Pd 2.88-2.99
4 V 0.0000 0.0000 0.5000  12 Pd 2.71-2.88
5 Pd 0.0000 0.5000 0.1293  8 Pd 2.88-2.94, 4 Y 2.89-2.93
6 Pd 0.0000 0.5000 0.3897  2 V 2.71, 8 Pd 2.71-2.94, 2 Y 2.99
7 Pd 0.0000 0.5000 0.6103  8 Pd 2.71-2.94, 2 V 2.71, 2 Y 2.99
8 Pd 0.0000 0.5000 0.8707  8 Pd 2.88-2.94, 4 Y 2.89-2.93
9 Pd 0.5000 0.0000 0.1293  8 Pd 2.88-2.94, 4 Y 2.89-2.93
10 Pd 0.5000 0.0000 0.3897  2 V 2.71, 8 Pd 2.71-2.94, 2 Y 2.99
11 Pd 0.5000 0.0000 0.6103  8 Pd 2.71-2.94, 2 V 2.71, 2 Y 2.99
12 Pd 0.5000 0.0000 0.8707  8 Pd 2.88-2.94, 4 Y 2.89-2.93
13 Pd 0.5000 0.5000 0.0000  4 Y 2.88, 8 Pd 2.93
14 Pd 0.5000 0.5000 0.2595  4 Y 2.88, 8 Pd 2.94
15 Pd 0.5000 0.5000 0.5000  8 Pd 2.71, 4 V 2.88
16 Pd 0.5000 0.5000 0.7405  4 Y 2.88, 8 Pd 2.94

Summary:
Calculated total energy, eV/atom: -6.3698
Space group: P4/mmm

# 2
This record from Alexandria describes crystalline Tm3GaSn2 at its relaxed geometry. The functional is GGA-PBE.

Lattice parameters (Å, degrees): 8.5585 8.5585 6.2228 100.35 100.35 42.08
Closest atoms and distances in Å follow each position.
Sites, in units of the cell vectors:
1 Tm 0.1298 0.8702 0.7500  2 Ga 3.02-3.13, 4 Sn 3.08-3.31
2 Tm 0.2223 0.4496 0.4089  1 Ga 2.97, 3 Sn 3.06-3.14
3 Tm 0.4496 0.2223 0.9089  1 Ga 2.97, 3 Sn 3.06-3.14
4 Tm 0.5504 0.7777 0.0911  1 Ga 2.97, 3 Sn 3.06-3.14
5 Tm 0.7777 0.5504 0.5911  1 Ga 2.97, 3 Sn 3.06-3.14
6 Tm 0.8702 0.1298 0.2500  2 Ga 3.02-3.13, 4 Sn 3.08-3.31
7 Ga 0.3795 0.6205 0.2500  4 Tm 2.97-3.13
8 Ga 0.6205 0.3795 0.7500  4 Tm 2.97-3.13
9 Sn 0.0538 0.2761 0.0629  7 Tm 3.06-3.39, 1 Ga 3.39, 3 Sn 3.40-3.42
10 Sn 0.2761 0.0538 0.5629  7 Tm 3.06-3.39, 1 Ga 3.39, 3 Sn 3.40-3.42
11 Sn 0.7239 0.9462 0.4371  7 Tm 3.06-3.39, 1 Ga 3.39, 3 Sn 3.40-3.42
12 Sn 0.9462 0.7239 0.9371  7 Tm 3.06-3.39, 1 Ga 3.39, 3 Sn 3.40-3.42

Summary:
Calculated total energy, eV/atom: -4.6191
ΔE to the lowest computed polymorph, eV/f.u.: 0.31
Space group: C2/c

# 3
This record from Alexandria describes crystalline TmCd2Ag at its relaxed geometry. The functional is GGA-PBE.

Lattice parameters (Å, degrees): 3.4144 3.4144 7.5935 90.00 90.00 90.00
Closest atoms and distances in Å follow each position.
Sites, in units of the cell vectors:
1 Tm 0.0000 0.0000 0.0000  8 Cd 3.21, 4 Tm 3.41
2 Cd 0.5000 0.5000 0.2782  4 Ag 2.94, 4 Tm 3.21
3 Cd 0.5000 0.5000 0.7218  4 Ag 2.94, 4 Tm 3.21
4 Ag 0.0000 0.0000 0.5000  8 Cd 2.94

Summary:
Calculated total energy, eV/atom: -2.4642
Space group: P4/mmm

# 4
This record from Alexandria describes crystalline Pr2AgSn at its relaxed geometry. The functional is GGA-PBE.

Lattice parameters (Å, degrees): 5.2788 5.2788 4.0957 90.00 90.00 90.00
Closest atoms and distances in Å follow each position.
Sites, in units of the cell vectors:
1 Pr 0.0000 0.5000 0.0000  4 Sn 3.34, 4 Ag 3.34, 4 Pr 3.73
2 Pr 0.5000 0.0000 0.0000  4 Sn 3.34, 4 Ag 3.34, 4 Pr 3.73
3 Ag 0.0000 0.0000 0.5000  8 Pr 3.34, 4 Sn 3.73
4 Sn 0.5000 0.5000 0.5000  8 Pr 3.34, 4 Ag 3.73

Summary:
Calculated total energy, eV/atom: -4.5866
Space group: P4/mmm

# 5
This record from Alexandria describes crystalline DyLu3Rh at its relaxed geometry. The functional is GGA-PBE.

Lattice parameters (Å, degrees): 5.2903 5.2903 5.2903 90.00 90.00 90.00
Closest atoms and distances in Å follow each position.
Sites, in units of the cell vectors:
1 Dy 0.0000 0.0000 0.0000  12 Lu 3.74
2 Lu 0.0000 0.5000 0.5000  2 Rh 2.65
3 Lu 0.5000 0.0000 0.5000  2 Rh 2.65
4 Lu 0.5000 0.5000 0.0000  2 Rh 2.65
5 Rh 0.5000 0.5000 0.5000  6 Lu 2.65

Summary:
Calculated total energy, eV/atom: -5.3770
Space group: Pm-3m

# 6
This record from Alexandria describes crystalline DyMn4Ga12 at its relaxed geometry. The functional is GGA-PBE.

Lattice parameters (Å, degrees): 7.9397 7.9397 7.9397 109.47 109.47 109.47
Closest atoms and distances in Å follow each position.
Sites, in units of the cell vectors:
1 Dy 0.0000 0.0000 0.0000  12 Ga 3.45
2 Mn 0.0000 0.0000 0.5000  6 Ga 2.30
3 Mn 0.0000 0.5000 0.0000  6 Ga 2.30
4 Mn 0.5000 0.0000 0.0000  6 Ga 2.30
5 Mn 0.5000 0.5000 0.5000  6 Ga 2.30
6 Ga 0.0000 0.2657 0.7343  2 Mn 2.30
7 Ga 0.0000 0.7343 0.2657  2 Mn 2.30
8 Ga 0.2657 0.0000 0.7343  2 Mn 2.30
9 Ga 0.2657 0.2657 0.5314  2 Mn 2.30
10 Ga 0.2657 0.5314 0.2657  2 Mn 2.30
11 Ga 0.2657 0.7343 0.0000  2 Mn 2.30
12 Ga 0.4686 0.7343 0.7343  2 Mn 2.30
13 Ga 0.5314 0.2657 0.2657  2 Mn 2.30
14 Ga 0.7343 0.0000 0.2657  2 Mn 2.30
15 Ga 0.7343 0.2657 0.0000  2 Mn 2.30
16 Ga 0.7343 0.4686 0.7343  2 Mn 2.30
17 Ga 0.7343 0.7343 0.4686  2 Mn 2.30

Summary:
Calculated total energy, eV/atom: -4.5194
Space group: Im-3m

# 7
This record from Alexandria describes crystalline TbDy8Tm6 at its relaxed geometry. The functional is GGA-PBE.

Lattice parameters (Å, degrees): 3.5441 9.4254 14.2035 78.84 82.91 89.98
Closest atoms and distances in Å follow each position.
Sites, in units of the cell vectors:
1 Tb 0.0000 0.0000 0.0000  6 Dy 3.50-3.51, 2 Tb 3.54, 4 Tm 3.55
2 Dy 0.1117 0.8890 0.7771  6 Dy 3.48-3.56, 5 Tm 3.49-3.54, 1 Tb 3.50
3 Dy 0.1997 0.3982 0.6004  7 Dy 3.49-3.57, 5 Tm 3.49-3.53
4 Dy 0.3113 0.2884 0.3781  5 Tm 3.48-3.55, 7 Dy 3.48-3.54
5 Dy 0.4885 0.3128 0.0221  5 Dy 3.46-3.56, 5 Tm 3.49-3.54, 2 Tb 3.51
6 Dy 0.5115 0.6872 0.9779  5 Dy 3.46-3.56, 5 Tm 3.49-3.54, 2 Tb 3.51
7 Dy 0.6887 0.7116 0.6219  5 Tm 3.48-3.55, 7 Dy 3.48-3.54
8 Dy 0.8003 0.6018 0.3996  7 Dy 3.49-3.57, 5 Tm 3.49-3.53
9 Dy 0.8883 0.1110 0.2229  6 Dy 3.48-3.56, 5 Tm 3.49-3.54, 1 Tb 3.50
10 Tm 0.0890 0.5111 0.8219  4 Tm 3.48-3.54, 8 Dy 3.49-3.55
11 Tm 0.2887 0.9124 0.4224  5 Tm 3.47-3.54, 7 Dy 3.48-3.55
12 Tm 0.3998 0.7989 0.2003  5 Tm 3.48-3.54, 5 Dy 3.50-3.53, 2 Tb 3.55
13 Tm 0.6002 0.2011 0.7997  5 Tm 3.48-3.54, 5 Dy 3.50-3.53, 2 Tb 3.55
14 Tm 0.7113 0.0876 0.5776  5 Tm 3.47-3.54, 7 Dy 3.48-3.55
15 Tm 0.9110 0.4889 0.1781  4 Tm 3.48-3.54, 8 Dy 3.49-3.55

Summary:
Calculated total energy, eV/atom: -4.5511
ΔE to the lowest computed polymorph, eV/f.u.: 0.00
Space group: P-1

# 8
This record from Alexandria describes crystalline CrNiIr2 at its relaxed geometry. The functional is GGA-PBE.

Lattice parameters (Å, degrees): 8.5979 8.5979 8.5979 17.94 17.94 17.94
Closest atoms and distances in Å follow each position.
Sites, in units of the cell vectors:
1 Cr 0.0000 0.0000 0.0000  6 Ir 2.58, 6 Cr 2.68
2 Ni 0.5000 0.5000 0.5000  6 Ir 2.66, 6 Ni 2.68
3 Ir 0.2518 0.2518 0.2518  3 Cr 2.58, 3 Ni 2.66, 6 Ir 2.68
4 Ir 0.7482 0.7482 0.7482  3 Cr 2.58, 3 Ni 2.66, 6 Ir 2.68

Summary:
Calculated total energy, eV/atom: -8.3426
Space group: R-3m

# 9
This record from Alexandria describes crystalline Pb12Au3O5 at its relaxed geometry. The functional is GGA-PBE.

Lattice parameters (Å, degrees): 13.7993 13.7993 13.7993 109.47 109.47 109.47
Closest atoms and distances in Å follow each position.
Sites, in units of the cell vectors:
1 Pb 0.0241 0.2063 0.1145  2 O 2.36-2.59
2 Pb 0.0241 0.3178 0.9096  2 O 2.36-2.59
3 Pb 0.0904 0.6145 0.4082  2 O 2.36-2.59
4 Pb 0.0904 0.9759 0.6822  2 O 2.36-2.59
5 Pb 0.0918 0.7063 0.6822  2 O 2.36-2.59
6 Pb 0.0918 0.8855 0.4096  2 O 2.36-2.59
7 Pb 0.1145 0.0241 0.2063  2 O 2.36-2.59
8 Pb 0.1145 0.5904 0.9082  2 O 2.36-2.59
9 Pb 0.1822 0.2063 0.5918  2 O 2.36-2.59
10 Pb 0.1822 0.4759 0.5904  2 O 2.36-2.59
11 Pb 0.2063 0.1145 0.0241  2 O 2.36-2.59
12 Pb 0.2063 0.5918 0.1822  2 O 2.36-2.59
13 Pb 0.2937 0.3178 0.9082  2 O 2.36-2.59
14 Pb 0.2937 0.4759 0.3855  2 O 2.36-2.59
15 Pb 0.3178 0.9082 0.2937  2 O 2.36-2.59
16 Pb 0.3178 0.9096 0.0241  2 O 2.36-2.59
17 Pb 0.3855 0.2937 0.4759  2 O 2.36-2.59
18 Pb 0.3855 0.5918 0.9096  2 O 2.36-2.59
19 Pb 0.4082 0.0904 0.6145  2 O 2.36-2.59
20 Pb 0.4082 0.8178 0.7937  2 O 2.36-2.59
21 Pb 0.4096 0.0918 0.8855  2 O 2.36-2.59
22 Pb 0.4096 0.8178 0.5241  2 O 2.36-2.59
23 Pb 0.4759 0.3855 0.2937  2 O 2.36-2.59
24 Pb 0.4759 0.5904 0.1822  2 O 2.36-2.59
25 Pb 0.5241 0.4096 0.8178  2 O 2.36-2.59
26 Pb 0.5241 0.6145 0.7063  2 O 2.36-2.59
27 Pb 0.5904 0.1822 0.4759  2 O 2.36-2.59
28 Pb 0.5904 0.9082 0.1145  2 O 2.36-2.59
29 Pb 0.5918 0.1822 0.2063  2 O 2.36-2.59
30 Pb 0.5918 0.9096 0.3855  2 O 2.36-2.59
31 Pb 0.6145 0.4082 0.0904  2 O 2.36-2.59
32 Pb 0.6145 0.7063 0.5241  2 O 2.36-2.59
33 Pb 0.6822 0.0904 0.9759  2 O 2.36-2.59
34 Pb 0.6822 0.0918 0.7063  2 O 2.36-2.59
35 Pb 0.7063 0.5241 0.6145  2 O 2.36-2.59
36 Pb 0.7063 0.6822 0.0918  2 O 2.36-2.59
37 Pb 0.7937 0.4082 0.8178  2 O 2.36-2.59
38 Pb 0.7937 0.8855 0.9759  2 O 2.36-2.59
39 Pb 0.8178 0.5241 0.4096  2 O 2.36-2.59
40 Pb 0.8178 0.7937 0.4082  2 O 2.36-2.59
41 Pb 0.8855 0.4096 0.0918  2 O 2.36-2.59
42 Pb 0.8855 0.9759 0.7937  2 O 2.36-2.59
43 Pb 0.9082 0.1145 0.5904  2 O 2.36-2.59
44 Pb 0.9082 0.2937 0.3178  2 O 2.36-2.59
45 Pb 0.9096 0.0241 0.3178  2 O 2.36-2.59
46 Pb 0.9096 0.3855 0.5918  2 O 2.36-2.59
47 Pb 0.9759 0.6822 0.0904  2 O 2.36-2.59
48 Pb 0.9759 0.7937 0.8855  2 O 2.36-2.59
49 Au 0.1250 0.2500 0.3750  8 Pb 3.13-3.14
50 Au 0.1250 0.3750 0.7500  8 Pb 3.13-3.14
51 Au 0.2500 0.3750 0.1250  8 Pb 3.13-3.14
52 Au 0.2500 0.8750 0.6250  8 Pb 3.13-3.14
53 Au 0.3750 0.1250 0.2500  8 Pb 3.13-3.14
54 Au 0.3750 0.7500 0.1250  8 Pb 3.13-3.14
55 Au 0.6250 0.2500 0.8750  8 Pb 3.13-3.14
56 Au 0.6250 0.8750 0.7500  8 Pb 3.13-3.14
57 Au 0.7500 0.1250 0.3750  8 Pb 3.13-3.14
58 Au 0.7500 0.6250 0.8750  8 Pb 3.13-3.14
59 Au 0.8750 0.6250 0.2500  8 Pb 3.13-3.14
60 Au 0.8750 0.7500 0.6250  8 Pb 3.13-3.14
61 O 0.0000 0.0000 0.0000  6 Pb 2.59
62 O 0.0000 0.0000 0.5000  6 Pb 2.59
63 O 0.0000 0.5000 0.0000  6 Pb 2.59
64 O 0.0000 0.5000 0.5000  6 Pb 2.59
65 O 0.1250 0.7500 0.8750  4 Pb 2.36
66 O 0.1250 0.8750 0.2500  4 Pb 2.36
67 O 0.2500 0.1250 0.8750  4 Pb 2.36
68 O 0.2500 0.6250 0.3750  4 Pb 2.36
69 O 0.3750 0.2500 0.6250  4 Pb 2.36
70 O 0.3750 0.6250 0.7500  4 Pb 2.36
71 O 0.5000 0.0000 0.0000  6 Pb 2.59
72 O 0.5000 0.0000 0.5000  6 Pb 2.59
73 O 0.5000 0.5000 0.0000  6 Pb 2.59
74 O 0.5000 0.5000 0.5000  6 Pb 2.59
75 O 0.6250 0.3750 0.2500  4 Pb 2.36
76 O 0.6250 0.7500 0.3750  4 Pb 2.36
77 O 0.7500 0.3750 0.6250  4 Pb 2.36
78 O 0.7500 0.8750 0.1250  4 Pb 2.36
79 O 0.8750 0.1250 0.7500  4 Pb 2.36
80 O 0.8750 0.2500 0.1250  4 Pb 2.36

Summary:
Calculated total energy, eV/atom: -4.3408
Formation energy (no corrections), eV/atom: -0.385
Space group: Ia-3d

# 10
This record from Alexandria describes crystalline Ca2SbPt at its relaxed geometry. The functional is GGA-PBE.

Lattice parameters (Å, degrees): 4.8039 4.8039 4.1771 90.00 90.00 90.00
Closest atoms and distances in Å follow each position.
Sites, in units of the cell vectors:
1 Ca 0.0000 0.5000 0.0000  4 Sb 3.18, 4 Pt 3.18, 4 Ca 3.40
2 Ca 0.5000 0.0000 0.0000  4 Sb 3.18, 4 Pt 3.18, 4 Ca 3.40
3 Sb 0.0000 0.0000 0.5000  8 Ca 3.18, 4 Pt 3.40
4 Pt 0.5000 0.5000 0.5000  8 Ca 3.18, 4 Sb 3.40

Summary:
Calculated total energy, eV/atom: -4.3370
Formation energy (no corrections), eV/atom: -0.795
Space group: P4/mmm

# 11
This record from Alexandria describes crystalline Pa2Ru6C at its relaxed geometry. The functional is GGA-PBE.

Lattice parameters (Å, degrees): 5.8067 5.8067 5.8067 60.00 60.00 60.00
Closest atoms and distances in Å follow each position.
Sites, in units of the cell vectors:
1 Pa 0.2500 0.2500 0.2500  12 Ru 2.90
2 Pa 0.7500 0.7500 0.7500  12 Ru 2.90
3 Ru 0.2475 0.2475 0.7525  1 C 2.07
4 Ru 0.2475 0.7525 0.2475  1 C 2.07
5 Ru 0.2475 0.7525 0.7525  1 C 2.07
6 Ru 0.7525 0.2475 0.2475  1 C 2.07
7 Ru 0.7525 0.2475 0.7525  1 C 2.07
8 Ru 0.7525 0.7525 0.2475  1 C 2.07
9 C 0.5000 0.5000 0.5000  6 Ru 2.07

Summary:
Calculated total energy, eV/atom: -9.7888
Space group: Fm-3m

# 12
This record from Alexandria describes crystalline K2Tm2SiO6 at its relaxed geometry. The functional is GGA-PBE.

Lattice parameters (Å, degrees): 5.5189 5.5189 6.5447 97.49 97.49 119.43
Closest atoms and distances in Å follow each position.
Sites, in units of the cell vectors:
1 K 0.1624 0.8376 0.0000  4 O 2.69-2.73
2 K 0.8376 0.1624 0.0000  4 O 2.69-2.73
3 Tm 0.3345 0.6655 0.5000  6 O 2.23-2.25
4 Tm 0.6655 0.3345 0.5000  6 O 2.23-2.25
5 Si 0.0000 0.0000 0.5000  6 O 1.84-1.89
6 O 0.0471 0.3360 0.6626  1 Si 1.89
7 O 0.2271 0.2271 0.3388  1 Si 1.84
8 O 0.3360 0.0471 0.6626  1 Si 1.89
9 O 0.6640 0.9529 0.3374  1 Si 1.89
10 O 0.7729 0.7729 0.6612  1 Si 1.84
11 O 0.9529 0.6640 0.3374  1 Si 1.89

Summary:
Calculated total energy, eV/atom: -6.8964
Formation energy (no corrections), eV/atom: -2.686
Space group: C2/m

Which value of calculated total energy does entry 11 give? -9.7888 eV/atom

Which value of calculated total energy does entry 3 give? -2.4642 eV/atom

calculated total energy of number 3 (TmCd2Ag)? -2.4642 eV/atom